DFT (PBE) results for an optimized crystal structure of In4NiCl.

Cell lengths 6.044, 6.044, 6.044 Å; angles 60.00, 60.00, 60.00 degrees
Fractional coordinates of all 6 atoms:
In1 0.125 0.125 0.125
In2 0.125 0.125 0.626
In3 0.125 0.626 0.125
In4 0.626 0.125 0.125
Ni1 0.750 0.750 0.750
Cl1 0.500 0.500 0.500

Crystal system = cubic
Magnetic moment = 0.416 μB per cell
Energy relative to the elements, uncorrected = 355 meV/atom
E = -2.742 eV/atom
Calculated density = 5.886 g/cm3